# PBE Ba12H5Br3, relaxed
data_Ba12H5Br3
_space_group_name_H-M_alt 'I a -3 d'
_space_group_IT_number 230
_space_group_name_Hall '-I 4bd 2c 3'
_cell_length_a 18.271
_cell_length_b 18.271
_cell_length_c 18.271
_cell_angle_alpha 90.00
_cell_angle_beta 90.00
_cell_angle_gamma 90.00
loop_
_atom_site_label
_atom_site_fract_x
_atom_site_fract_y
_atom_site_fract_z
_atom_site_occupancy
Ba1 0.037 0.055 0.653 1
H1 0.000 0.000 0.000 1
H2 0.000 0.250 0.375 1
Br1 0.000 0.250 0.125 1
# - Crystal system: cubic
# - Raw total energy: -2.75 eV per atom
# - Volume: 6099.30 Å³ per cell